# 1
This record from Alexandria describes crystalline K8IO2 at its relaxed geometry. The functional is PBE-GGA.

Computed properties:
Symmetry   C2/m, No. 12
Spin magnetization   0.0 μB/cell
Uncorrected formation energy   -0.792 eV per atom
N(E_F)   3.3 states/eV/f.u.

a = 7.8118 Å, b = 8.9777 Å, c = 8.9777 Å
α = 55.49°, β = 75.31°, γ = 75.31°
Positions (direct):
1 K 0.6940 0.3540 0.3540
2 K 0.3110 0.5966 0.0881
3 K 0.6890 0.4034 0.9119
4 K 0.3060 0.6460 0.6460
5 K 0.6890 0.9119 0.4034
6 K 0.7204 0.8513 0.8513
7 K 0.2796 0.1487 0.1487
8 K 0.3110 0.0881 0.5966
9 I 0.0000 0.0000 0.0000
10 O 0.5091 0.7502 0.7502
11 O 0.4909 0.2498 0.2498

# 2
This record from Alexandria describes crystalline K10I4O3 at its relaxed geometry. The functional is PBE-GGA.

Computed properties:
Symmetry   I4/mmm, No. 139
Spin magnetization   0.1 μB/cell
Uncorrected formation energy   -1.280 eV per atom

a = 5.3659 Å, b = 5.3659 Å, c = 20.0042 Å
α = 97.71°, β = 97.71°, γ = 90.00°
Positions (direct):
1 I 0.7033 0.7033 0.4065
2 I 0.2967 0.2967 0.5935
3 I 0.4317 0.4317 0.8634
4 I 0.5683 0.5683 0.1366
5 K 0.6372 0.1372 0.2745
6 K 0.0000 0.5000 0.0000
7 K 0.5000 0.0000 0.0000
8 K 0.3628 0.8628 0.7255
9 K 0.9312 0.9312 0.8624
10 K 0.8628 0.3628 0.7255
11 K 0.0688 0.0688 0.1376
12 K 0.2036 0.2036 0.4073
13 K 0.1372 0.6372 0.2745
14 K 0.7964 0.7964 0.5927
15 O 0.1377 0.1377 0.2755
16 O 0.0000 0.0000 0.0000
17 O 0.8623 0.8623 0.7245

# 3
This record from Alexandria describes crystalline K2IO6 at its relaxed geometry. The functional is PBE-GGA.

Computed properties:
Symmetry   C2/m, No. 12
Spin magnetization   1.0 μB/cell
Uncorrected formation energy   -0.276 eV per atom
N(E_F)   2.0 states/eV/f.u.

a = 3.8234 Å, b = 6.5246 Å, c = 6.6656 Å
α = 119.30°, β = 97.52°, γ = 90.00°
Each line ends with the local moment (μB).
Positions (direct):
1 O 0.8670 0.0781 0.7602  0.10
2 O 0.1330 0.9219 0.2398  0.10
3 O 0.5000 0.8143 0.0000  0.22
4 O 0.5000 0.1857 0.0000  0.22
5 O 0.1330 0.3180 0.2398  0.10
6 O 0.8670 0.6820 0.7602  0.10
7 K 0.3479 0.3358 0.6716  0.00
8 K 0.6521 0.6642 0.3284  0.00
9 I 0.0000 0.0000 0.0000  -0.01

# 4
This record from Alexandria describes crystalline KI2O2 at its relaxed geometry. The functional is PBE-GGA.

Computed properties:
Symmetry   P4/mmm, No. 123
Spin magnetization   5.0 μB/cell
Uncorrected formation energy   0.778 eV per atom
N(E_F)   8.6 states/eV/f.u.
Energy above the most stable polymorph in this dataset   1100 meV/atom

a = 6.7363 Å, b = 6.7363 Å, c = 5.2269 Å
α = 90.00°, β = 90.00°, γ = 90.00°
Each line ends with the local moment (μB).
Positions (direct):
1 O 0.5000 0.5000 0.5000  1.49
2 O 0.0000 0.0000 0.5000  1.27
3 I 0.0000 0.5000 0.0000  0.47
4 I 0.5000 0.0000 0.0000  0.47
5 K 0.0000 0.0000 0.0000  -0.01

# 5
This record from Alexandria describes crystalline K3I2O2 at its relaxed geometry. The functional is PBE-GGA.

Computed properties:
Symmetry   Immm, No. 71
Spin magnetization   1.0 μB/cell
Uncorrected formation energy   -1.155 eV per atom
N(E_F)   1.1 states/eV/f.u.

a = 5.2456 Å, b = 4.7777 Å, c = 10.5583 Å
α = 103.08°, β = 104.39°, γ = 90.00°
Each line ends with the local moment (μB).
Positions (direct):
1 I 0.8294 0.8294 0.6588  0.00
2 I 0.1706 0.1706 0.3412  0.00
3 K 0.3531 0.3531 0.7062  0.00
4 K 0.0000 0.0000 0.0000  0.00
5 K 0.6469 0.6469 0.2938  0.00
6 O 0.5000 0.8576 0.0000  0.40
7 O 0.5000 0.1424 0.0000  0.40

# 6
This record from Alexandria describes crystalline K6I3O at its relaxed geometry. The functional is PBE-GGA.

Computed properties:
Symmetry   R-3, No. 148
Spin magnetization   1.4 μB/cell
Uncorrected formation energy   -1.164 eV per atom
N(E_F)   2.6 states/eV/f.u.

a = 9.7003 Å, b = 9.7003 Å, c = 9.7003 Å
α = 96.74°, β = 96.74°, γ = 96.74°
Positions (direct):
1 K 0.9825 0.2742 0.0593
2 K 0.0175 0.7258 0.9407
3 K 0.2356 0.4187 0.5355
4 K 0.5813 0.4645 0.7644
5 K 0.5355 0.2356 0.4187
6 K 0.4645 0.7644 0.5813
7 K 0.9407 0.0175 0.7258
8 K 0.7258 0.9407 0.0175
9 K 0.4187 0.5355 0.2356
10 K 0.0593 0.9825 0.2742
11 K 0.7644 0.5813 0.4645
12 K 0.2742 0.0593 0.9825
13 I 0.9215 0.3793 0.7107
14 I 0.6207 0.2893 0.0785
15 I 0.2893 0.0785 0.6207
16 I 0.3793 0.7107 0.9215
17 I 0.7107 0.9215 0.3793
18 I 0.0785 0.6207 0.2893
19 O 0.5000 0.5000 0.5000
20 O 0.0000 0.0000 0.0000

# 7
This record from Alexandria describes crystalline K2IO4 at its relaxed geometry. The functional is PBE-GGA.

Computed properties:
Symmetry   P2_1/m, No. 11
Spin magnetization   2.0 μB/cell
Uncorrected formation energy   -0.939 eV per atom
N(E_F)   0.2 states/eV/f.u.

a = 6.5370 Å, b = 6.4637 Å, c = 7.7899 Å
α = 90.00°, β = 113.43°, γ = 90.00°
Each line ends with the local moment (μB).
Positions (direct):
1 O 0.9514 0.2500 0.6609  0.31
2 O 0.3927 0.5338 0.2557  0.04
3 O 0.3927 0.9662 0.2557  0.04
4 O 0.0486 0.7500 0.3391  0.31
5 O 0.8378 0.2500 0.0858  0.30
6 O 0.6073 0.0338 0.7443  0.04
7 O 0.1622 0.7500 0.9142  0.30
8 O 0.6073 0.4662 0.7443  0.04
9 I 0.1958 0.7500 0.1707  0.10
10 I 0.8042 0.2500 0.8293  0.10
11 K 0.7929 0.7500 0.5584  0.00
12 K 0.6165 0.7500 0.0042  0.00
13 K 0.2071 0.2500 0.4416  0.00
14 K 0.3835 0.2500 0.9958  0.00

# 8
This record from Alexandria describes crystalline K3IO4 at its relaxed geometry. The functional is PBE-GGA.

Computed properties:
Symmetry   Imm2, No. 44
Spin magnetization   0.0 μB/cell
Uncorrected formation energy   -1.130 eV per atom
N(E_F)   0.0 states/eV/f.u.
Energy above the most stable polymorph in this dataset   24 meV/atom

a = 5.7335 Å, b = 6.2723 Å, c = 6.2931 Å
α = 119.89°, β = 117.10°, γ = 90.00°
Positions (direct):
1 K 0.2415 0.7599 0.5197
2 K 0.9857 0.0000 0.0000
3 K 0.7218 0.2401 0.4803
4 O 0.6599 0.2638 0.0000
5 O 0.6599 0.7362 0.0000
6 O 0.6704 0.7118 0.4236
7 O 0.2468 0.2882 0.5764
8 I 0.4651 0.5000 0.0000